1.
VASP calculation (PBE-GGA) on a relaxed structure of TbScCoOs.

```
TbScCoOs
1.0
4.647 0.000 0.000
2.324 4.025 0.000
2.324 1.342 3.794
Sc Tb Os Co
1 1 1 1
Cartesian
6.971 4.025 2.846 Sc
2.324 1.342 0.949 Tb
0.000 0.000 0.000 Os
4.647 2.683 1.897 Co
```

- E_form: -194 meV/atom
- Calculated volume: 71 Å³/cell
- Space-group type: F-43m, No. 216

***

2.
VASP calculation (PBE-GGA) on a relaxed structure of Tb2PmDyTm2.

```
Tb2PmDyTm2
1.0
-0.750 3.243 -0.639
-3.906 0.116 5.176
13.653 5.164 10.187
Tb Pm Dy Tm
4 2 2 4
Cartesian
2.803 3.266 4.299 Tb
-0.474 1.060 5.938 Tb
6.193 5.257 10.426 Tb
10.221 4.221 9.425 Tb
0.000 0.000 0.000 Pm
4.498 4.262 7.362 Pm
-2.328 1.679 2.269 Dy
6.826 2.582 5.094 Dy
1.397 3.534 7.311 Tm
7.600 4.989 7.414 Tm
8.830 4.488 12.417 Tm
0.917 0.793 2.947 Tm
```

- E_form: 279 meV/atom
- Calculated volume: 391 Å³/cell
- Space-group type: Pnnm, No. 58

***

3.
VASP calculation (PBE-GGA) on a relaxed structure of ZrTcCl4.

```
ZrTcCl4
1.0
1.900 1.654 5.078
-2.400 -2.022 4.721
2.840 -3.642 3.288
Zr Tc Cl
1 1 4
Cartesian
0.000 0.000 0.000 Zr
1.755 -3.007 9.815 Tc
1.827 -0.677 7.446 Cl
2.297 -3.324 6.551 Cl
-0.322 -2.515 7.268 Cl
0.877 -1.504 4.908 Cl
```

- Calculated volume: 129 Å³/cell
- Total DFT energy (no corrections): -21.25 eV per cell
- Space-group type: F-43m, No. 216

***

4.
VASP calculation (PBE-GGA) on a relaxed structure of MgCu4Ge2.

```
MgCu4Ge2
1.0
4.169 0.000 0.000
2.085 3.611 0.000
2.085 1.204 6.997
Mg Cu Ge
1 4 2
Cartesian
0.000 0.000 0.000 Mg
4.169 2.407 4.826 Cu
2.085 1.204 4.098 Cu
4.169 2.407 2.171 Cu
6.254 3.611 2.900 Cu
2.085 1.204 1.587 Ge
6.254 3.611 5.410 Ge
```

- E_form: -16 meV/atom
- Calculated volume: 105 Å³/cell
- Space-group type: R-3m, No. 166

***

5.
VASP calculation (PBE-GGA) on a relaxed structure of CuAuS5.

```
CuAuS5
1.0
-4.789 3.023 0.152
-0.789 -3.655 -4.257
0.954 -6.712 11.031
Cu Au S
2 2 10
Cartesian
0.000 0.000 0.000 Cu
0.477 -3.356 5.516 Cu
-2.863 -4.033 7.090 Au
-1.762 -3.310 -0.164 Au
-0.247 -5.420 6.507 S
-2.877 -4.507 1.552 S
-1.375 -0.977 1.709 S
-1.230 -6.758 5.291 S
-1.050 -1.440 -1.436 S
-3.574 -5.903 8.362 S
-3.395 -0.585 1.635 S
-3.249 -6.367 5.217 S
-1.747 -2.836 5.374 S
-4.378 -1.924 0.419 S
```

- Calculated volume: 345 Å³/cell
- Total DFT energy (no corrections): -54.67 eV per cell
- Space-group type: C2/c, No. 15

***

6.
VASP calculation (PBE-GGA) on a relaxed structure of Cs3Y2TmS6.

```
Cs3Y2TmS6
1.0
7.088 -0.001 0.000
-3.543 6.139 0.000
-1.182 -2.046 8.061
Cs Y Tm S
3 2 1 6
Cartesian
-2.356 4.088 4.031 Cs
4.719 0.003 4.031 Cs
1.181 2.046 4.031 Cs
0.001 4.092 0.000 Y
3.544 2.046 0.000 Y
0.000 0.000 0.000 Tm
3.531 2.068 6.603 S
2.376 4.114 1.462 S
-1.168 2.024 1.459 S
0.027 4.092 6.603 S
-0.013 -0.023 6.600 S
2.336 0.000 1.459 S
```

- Calculated volume: 351 Å³/cell
- Total DFT energy (no corrections): -66.73 eV per cell
- Space-group type: C2/m, No. 12

***

7.
VASP calculation (PBE-GGA) on a relaxed structure of Mn3N.

```
Mn3N
1.0
-0.782 0.107 -2.452
-1.731 -3.825 0.384
-1.750 3.321 2.056
Mn N
3 1
Cartesian
-2.517 -0.558 0.778 Mn
-1.024 -1.346 -1.085 Mn
-1.336 1.064 -0.880 Mn
-0.064 -0.141 0.014 N
```

- Calculated volume: 38 Å³/cell
- Total DFT energy (no corrections): -36.03 eV per cell
- Space-group type: Imm2, No. 44

***

8.
VASP calculation (PBE-GGA) on a relaxed structure of Tb16Pm6Dy7.

```
Tb16Pm6Dy7
1.0
2.774 -10.830 -0.091
5.056 -4.400 -8.948
10.748 -3.022 0.575
Tb Pm Dy
16 6 7
Cartesian
10.896 -14.456 -7.688 Tb
16.247 -15.961 -7.401 Tb
13.729 -13.770 -2.947 Tb
14.865 -10.569 -7.356 Tb
2.332 -2.291 -1.063 Tb
7.683 -3.796 -0.776 Tb
4.850 -4.482 -5.517 Tb
3.714 -7.683 -1.108 Tb
5.597 -10.058 -5.860 Tb
12.100 -11.887 -5.512 Tb
9.041 -9.225 -0.099 Tb
10.421 -5.335 -5.457 Tb
6.480 -6.366 -2.952 Tb
12.982 -8.194 -2.604 Tb
9.538 -9.028 -8.365 Tb
8.158 -12.918 -3.007 Tb
7.377 -6.991 -6.363 Pm
11.202 -11.261 -2.101 Pm
6.346 -9.896 -2.361 Pm
12.233 -8.356 -6.103 Pm
8.630 -11.884 -6.404 Pm
9.949 -6.368 -2.060 Pm
0.000 0.000 0.000 Dy
6.761 -6.926 0.242 Dy
2.528 -2.200 -4.474 Dy
7.902 -3.711 -4.186 Dy
1.387 -5.415 -0.046 Dy
5.374 -1.511 0.288 Dy
3.915 -7.615 -4.520 Dy
```

- E_form: 232 meV/atom
- Calculated volume: 988 Å³/cell
- Space-group type: Fm-3m, No. 225

***

Number 1: theoretical density 10.60 g/cm3, size of the total moment 0.00 Bohr magnetons per cell. Number 2: theoretical density 8.18 g/cm3, size of the total moment 0.00 Bohr magnetons per cell. Number 3: theoretical density 4.27 g/cm3, size of the total moment 3.43 Bohr magnetons per cell. Number 4: theoretical density 6.68 g/cm3, size of the total moment 0.00 Bohr magnetons per cell. Number 5: theoretical density 4.05 g/cm3, size of the total moment 0.00 Bohr magnetons per cell. Number 6: theoretical density 4.44 g/cm3, size of the total moment 0.00 Bohr magnetons per cell. Number 7: theoretical density 7.82 g/cm3, size of the total moment 0.01 Bohr magnetons per cell. Number 8: theoretical density 7.65 g/cm3, size of the total moment 0.00 Bohr magnetons per cell.